## Ce5Os2Ru2 (PBE-GGA)

Data for Ce5Os2Ru2 after structural relaxation.

Output
E_form = -18.4 kJ per mole of atoms
SG = No. 46
Calculated volume = 22.9 A^3/atom

Cell: 6.7029 7.2064 9.8633 Å, 111.43 109.86 90.00°
Last column: nearest neighbours and their distance in Å.
Element x y z (fractional)
Ru1 0.7702 0.9100 0.5000  2 Ce 2.48-2.67
Ru2 0.0000 0.9436 0.0000  6 Ce 2.66-2.98
Ru3 0.2298 0.4100 0.5000  2 Ce 2.48-2.67
Ru4 0.5000 0.4436 0.0000  6 Ce 2.66-2.98
Os1 0.8548 0.4748 0.8534  4 Ce 2.64-2.93, 1 Os 2.69
Os2 0.4986 0.9748 0.8534  4 Ce 2.64-2.93, 1 Os 2.69
Os3 0.5014 0.1213 0.1466  4 Ce 2.64-2.93, 1 Os 2.69
Os4 0.1452 0.6213 0.1466  4 Ce 2.64-2.93, 1 Os 2.69
Ce1 0.8754 0.2399 0.5000  2 Ru 2.48-2.67
Ce2 0.8897 0.2979 0.1390  2 Ru 2.66-2.90, 2 Os 2.86-2.93
Ce3 0.6711 0.6901 0.6906  2 Os 2.64
Ce4 0.4805 0.4995 0.3094  2 Os 2.64
Ce5 0.1246 0.7399 0.5000  2 Ru 2.48-2.67
Ce6 0.2507 0.6589 0.8610  2 Ru 2.66-2.90, 2 Os 2.86-2.93
Ce7 0.5195 0.1901 0.6906  2 Os 2.64
Ce8 0.7493 0.7979 0.1390  2 Ru 2.66-2.90, 2 Os 2.86-2.93
Ce9 0.1104 0.1589 0.8610  2 Ru 2.66-2.90, 2 Os 2.86-2.93
Ce10 0.3289 0.9995 0.3094  2 Os 2.64

## Ce6OsRu (PBE-GGA)

Data for Ce6OsRu after structural relaxation.

Output
E_form = 2.3 kJ per mole of atoms
Relative energy among the computed polymorphs = 2.7 kJ per mole of atoms
SG = No. 12
Calculated volume = 25.1 A^3/atom

Cell: 6.2934 6.5912 6.4914 Å, 104.71 102.64 121.58°
Last column: nearest neighbours and their distance in Å.
Element x y z (fractional)
Ce1 0.5025 0.2495 0.0000  1 Ru 2.67, 1 Os 2.69
Ce2 0.4975 0.7505 0.0000  1 Ru 2.67, 1 Os 2.69
Ce3 0.7953 0.0473 0.5854  1 Ru 2.86, 1 Os 2.89
Ce4 0.2047 0.9527 0.4146  1 Ru 2.86, 1 Os 2.89
Ce5 0.7902 0.5381 0.5854  1 Ru 2.86, 1 Os 2.89
Ce6 0.2098 0.4619 0.4146  1 Ru 2.86, 1 Os 2.89
Os1 0.0000 0.0000 0.0000  6 Ce 2.69-2.89
Ru1 0.0000 0.5000 0.0000  6 Ce 2.67-2.86

## Ce8OsRu2 (PBE-GGA)

Data for Ce8OsRu2 after structural relaxation.

Output
E_form = -16.9 kJ per mole of atoms
Relative energy among the computed polymorphs = 0.0 kJ per mole of atoms
SG = No. 12
Calculated volume = 23.5 A^3/atom

Cell: 4.6746 6.7623 9.1214 Å, 110.96 104.85 90.00°
Last column: nearest neighbours and their distance in Å.
Element x y z (fractional)
Os1 0.5000 0.0000 0.0000  8 Ce 2.88-3.14
Ce1 0.8047 0.6942 0.6094  2 Ce 2.92, 1 Ru 3.26
Ce2 0.1953 0.3058 0.3906  2 Ce 2.92, 1 Ru 3.26
Ce3 0.9911 0.2405 0.9823  1 Ru 2.75, 2 Os 2.88, 2 Ce 3.06
Ce4 0.5918 0.4969 0.1836  2 Ru 2.90, 2 Ce 3.06, 1 Os 3.14
Ce5 0.4082 0.5031 0.8164  2 Ru 2.90, 2 Ce 3.06, 1 Os 3.14
Ce6 0.6733 0.0310 0.3466  3 Ru 2.70-2.98, 2 Ce 2.92, 1 Os 2.98
Ce7 0.3267 0.9690 0.6534  3 Ru 2.70-2.98, 2 Ce 2.92, 1 Os 2.98
Ce8 0.0089 0.7595 0.0177  1 Ru 2.75, 2 Os 2.88, 2 Ce 3.06
Ru1 0.8364 0.2496 0.6729  6 Ce 2.70-2.98
Ru2 0.1636 0.7504 0.3271  6 Ce 2.70-2.98

## Ce5OsRu4 (PBE-GGA)

Data for Ce5OsRu4 after structural relaxation.

Output
E_form = -9.0 kJ per mole of atoms
SG = No. 59
Calculated volume = 22.4 A^3/atom

Cell: 7.9731 7.1604 7.8531 Å, 90.00 90.00 90.00°
Last column: nearest neighbours and their distance in Å.
Element x y z (fractional)
Ce1 0.9342 0.5000 0.0000  2 Ru 2.49
Ce2 0.7138 0.2389 0.7067  3 Ru 2.63-2.81, 1 Os 2.88
Ce3 0.7138 0.2389 0.2933  3 Ru 2.63-2.81, 1 Os 2.88
Ce4 0.0658 0.0000 0.5000  2 Ru 2.49
Ce5 0.2862 0.2611 0.7933  3 Ru 2.63-2.81, 1 Os 2.88
Ce6 0.2862 0.2611 0.2067  3 Ru 2.63-2.81, 1 Os 2.88
Ce7 0.2862 0.7389 0.2067  3 Ru 2.63-2.81, 1 Os 2.88
Ce8 0.7138 0.7611 0.2933  3 Ru 2.63-2.81, 1 Os 2.88
Ce9 0.2862 0.7389 0.7933  3 Ru 2.63-2.81, 1 Os 2.88
Ce10 0.7138 0.7611 0.7067  3 Ru 2.63-2.81, 1 Os 2.88
Ru1 0.9689 0.5000 0.3150  3 Ce 2.49-2.77, 1 Os 2.70
Ru2 0.0311 0.0000 0.1850  3 Ce 2.49-2.77, 1 Os 2.70
Ru3 0.0311 0.0000 0.8150  3 Ce 2.49-2.77, 1 Os 2.70
Ru4 0.4306 0.1854 0.5000  4 Ce 2.63-2.81, 1 Ru 2.65, 1 Os 2.66
Ru5 0.9689 0.5000 0.6850  3 Ce 2.49-2.77, 1 Os 2.70
Ru6 0.5694 0.3146 0.0000  4 Ce 2.63-2.81, 1 Ru 2.65, 1 Os 2.66
Ru7 0.4306 0.8146 0.5000  4 Ce 2.63-2.81, 1 Ru 2.65, 1 Os 2.66
Ru8 0.5694 0.6854 0.0000  4 Ce 2.63-2.81, 1 Ru 2.65, 1 Os 2.66
Os1 0.2540 0.5000 0.5000  4 Ru 2.66-2.70, 4 Ce 2.88
Os2 0.7460 0.0000 0.0000  4 Ru 2.66-2.70, 4 Ce 2.88